No. 1
Compound: Tl2CrFeCl
Source: Alexandria via LeMat-Bulk
Functional: PBE
Structure: optimized geometry

```
data_Tl2CrFeCl
_chemical_formula_sum 'Tl2 Cr1 Fe1 Cl1'
_space_group_name_H-M_alt 'P 4/m m m'
_space_group_IT_number 123
_space_group_name_Hall '-P 4 2'
_cell_length_a 5.225
_cell_length_b 5.225
_cell_length_c 4.313
_cell_angle_alpha 90.00
_cell_angle_beta 90.00
_cell_angle_gamma 90.00
loop_
_atom_site_label
_atom_site_type_symbol
_atom_site_fract_x
_atom_site_fract_y
_atom_site_fract_z
Tl1 Tl 0.000 0.500 0.000
Cr1 Cr 0.000 0.000 0.500
Fe1 Fe 0.000 0.000 0.000
Cl1 Cl 0.500 0.500 0.500
```

Summary:
crystal system = tetragonal
ΔE_f (raw) = 0.3333 eV per atom

---

No. 2
Compound: SrGeF
Source: Alexandria via LeMat-Bulk
Functional: PBE
Structure: optimized geometry

```
data_SrGeF
_chemical_formula_sum 'Sr6 Ge6 F6'
_space_group_name_H-M_alt 'R 3 m'
_space_group_IT_number 160
_space_group_name_Hall 'R 3 -2"'
_cell_length_a 4.0822
_cell_length_b 4.0822
_cell_length_c 27.3889
_cell_angle_alpha 90.00
_cell_angle_beta 90.00
_cell_angle_gamma 120.00
loop_
_atom_site_label
_atom_site_type_symbol
_atom_site_fract_x
_atom_site_fract_y
_atom_site_fract_z
Sr1 Sr 0.0000 0.0000 0.0000
Sr2 Sr 0.0000 0.0000 0.4620
Ge1 Ge 0.0000 0.0000 0.2462
Ge2 Ge 0.0000 0.0000 0.8739
F1 F 0.0000 0.0000 0.0938
F2 F 0.0000 0.0000 0.3690
```

Summary:
crystal system = trigonal
ΔE_f (raw) = -2.1210 eV per atom